# Hf2ThAl | the Alexandria database | PBE-GGA | relaxed
# ΔE_f: 92 meV/atom
# polymorph energy (0 for the lowest one): 180.6 meV/atom
# raw total energy: -92.10 eV per cell
# density: 10.81 g/cm³
data_Hf2ThAl
_symmetry_space_group_name_H-M 'R -3 m'
_symmetry_Int_Tables_number 166
_symmetry_space_group_name_Hall '-R 3 2"'
_cell_length_a 3.3252
_cell_length_b 3.3252
_cell_length_c 29.6447
_cell_angle_alpha 90.00
_cell_angle_beta 90.00
_cell_angle_gamma 120.00
loop_
_atom_site_label
_atom_site_fract_x
_atom_site_fract_y
_atom_site_fract_z
_atom_site_occupancy
Hf1 0.0000 0.0000 0.2434 1
Th1 0.0000 0.0000 0.0000 1
Al1 0.0000 0.0000 0.5000 1



# Tc2PRu | the Alexandria database | PBE-GGA | relaxed
# ΔE_f: -75 meV/atom
# raw total energy: -107.15 eV per cell
# density: 9.87 g/cm³
data_Tc2PRu
_symmetry_space_group_name_H-M 'R 3 m'
_symmetry_Int_Tables_number 160
_symmetry_space_group_name_Hall 'R 3 -2"'
_cell_length_a 2.7958
_cell_length_b 2.7958
_cell_length_c 24.4583
_cell_angle_alpha 90.00
_cell_angle_beta 90.00
_cell_angle_gamma 120.00
loop_
_atom_site_label
_atom_site_fract_x
_atom_site_fract_y
_atom_site_fract_z
_atom_site_occupancy
Tc1 0.0000 0.0000 0.0000 1
Tc2 0.0000 0.0000 0.2444 1
P1 0.0000 0.0000 0.4987 1
Ru1 0.0000 0.0000 0.7579 1



# CrSbCl2 | the Alexandria database | PBE-GGA | relaxed
# energy relative to the elements, uncorrected: -0.389 eV per atom
# polymorph energy (0 for the lowest one): 13.0 meV/atom
# raw total energy: -37.99 eV per cell
# density: 3.35 g/cm³
data_CrSbCl2
_symmetry_space_group_name_H-M 'C m m m'
_symmetry_Int_Tables_number 65
_symmetry_space_group_name_Hall '-C 2 2'
_cell_length_a 3.279
_cell_length_b 6.158
_cell_length_c 12.012
_cell_angle_alpha 90.00
_cell_angle_beta 90.00
_cell_angle_gamma 90.00
loop_
_atom_site_label
_atom_site_fract_x
_atom_site_fract_y
_atom_site_fract_z
_atom_site_occupancy
Cr1 0.000 0.000 0.000 1
Sb1 0.000 0.000 0.500 1
Cl1 0.000 0.500 0.138 1



# SrRe2Au | the Alexandria database | PBE-GGA | relaxed
# ΔE_f: 730 meV/atom
# polymorph energy (0 for the lowest one): 434.4 meV/atom
# raw total energy: -53.87 eV per cell
# density: 12.36 g/cm³
data_SrRe2Au
_symmetry_space_group_name_H-M 'I m m 2'
_symmetry_Int_Tables_number 44
_cell_length_a 3.549
_cell_length_b 5.314
_cell_length_c 9.361
_cell_angle_alpha 90.00
_cell_angle_beta 90.00
_cell_angle_gamma 90.00
loop_
_symmetry_equiv_pos_as_xyz
'x,y,z'
'-x,-y,z'
'-x,y,z'
'x,-y,z'
'x+1/2,y+1/2,z+1/2'
'-x+1/2,-y+1/2,z+1/2'
'-x+1/2,y+1/2,z+1/2'
'x+1/2,-y+1/2,z+1/2'
loop_
_atom_site_label
_atom_site_fract_x
_atom_site_fract_y
_atom_site_fract_z
_atom_site_occupancy
Sr1 0.000 0.000 0.000 1
Re1 0.000 0.000 0.526 1
Re2 0.000 0.500 0.195 1
Au1 0.000 0.500 0.791 1



# NdErAlIn | the Alexandria database | PBE-GGA | relaxed
# ΔE_f: -418 meV/atom
# polymorph energy (0 for the lowest one): 0.0 meV/atom
# raw total energy: -17.49 eV per cell
# density: 7.26 g/cm³
data_NdErAlIn
_symmetry_space_group_name_H-M 'P 4 m m'
_symmetry_Int_Tables_number 99
_cell_length_a 3.709
_cell_length_b 3.709
_cell_length_c 7.533
_cell_angle_alpha 90.00
_cell_angle_beta 90.00
_cell_angle_gamma 90.00
loop_
_symmetry_equiv_pos_as_xyz
'x,y,z'
'-y,x,z'
'-x,-y,z'
'y,-x,z'
'-x,y,z'
'y,x,z'
'x,-y,z'
'-y,-x,z'
loop_
_atom_site_label
_atom_site_fract_x
_atom_site_fract_y
_atom_site_fract_z
_atom_site_occupancy
Nd1 0.000 0.000 0.000 1
Er1 0.000 0.000 0.479 1
Al1 0.500 0.500 0.255 1
In1 0.500 0.500 0.723 1



# LaThRuCl | the Alexandria database | PBE-GGA | relaxed
# energy relative to the elements, uncorrected: -0.994 eV per atom
# raw total energy: -82.33 eV per cell
# density: 7.40 g/cm³
data_LaThRuCl
_symmetry_space_group_name_H-M 'R 3 m'
_symmetry_Int_Tables_number 160
_symmetry_space_group_name_Hall 'R 3 -2"'
_cell_length_a 4.0862
_cell_length_b 4.0862
_cell_length_c 23.6091
_cell_angle_alpha 90.00
_cell_angle_beta 90.00
_cell_angle_gamma 120.00
loop_
_atom_site_label
_atom_site_fract_x
_atom_site_fract_y
_atom_site_fract_z
_atom_site_occupancy
La1 0.0000 0.0000 0.0000 1
Th1 0.0000 0.0000 0.2022 1
Ru1 0.0000 0.0000 0.5942 1
Cl1 0.0000 0.0000 0.7667 1